1.
VASP calculation (PBEsol) on a geometry-optimized TeAuSe2 structure.

Cell: 3.9720 4.9017 4.9017 Å, 110.19 90.00 90.00°
With the nearest neighbours (Å) after each atom.
Fractional positions:
Se: 0.0000 0.0280 0.9720  2 Au 2.64, 2 Te 2.83
Se: 0.5000 0.7467 0.2533  2 Au 2.80, 2 Te 2.91, 2 Se 3.01
Au: 0.5000 0.2442 0.7558  4 Se 2.64-2.80, 2 Te 2.76
Te: 0.0000 0.4819 0.5181  2 Au 2.76, 4 Se 2.83-2.91

Values from the calculation:
As for the space group: Amm2. The value obtained for the uncorrected formation energy is -0.014 eV per atom. As for the density of states at the Fermi level: 1.992 states/eV/cell.


2.
VASP calculation (PBEsol) on a geometry-optimized Mn6PbO12 structure.

Cell: 7.9108 7.9108 8.1029 Å, 104.03 108.43 115.33°
With the nearest neighbours (Å) after each atom.
Fractional positions:
O: 0.6867 0.0426 0.7293  3 Mn 1.86
O: 0.7083 0.0203 0.3961  3 Mn 1.85-1.87
O: 0.3116 0.9656 0.9420  3 Mn 1.93-1.94
Mn: 0.1550 0.6658 0.8208  6 O 1.85-1.93
O: 0.6445 0.2975 0.9420  3 Mn 1.92
O: 0.0184 0.9905 0.3454  3 Mn 1.92-1.94
Mn: 0.4886 0.9988 0.8187  6 O 1.85-1.94
Mn: 0.3370 0.5197 0.5252  6 O 1.86-1.94
O: 0.3758 0.6879 0.3961  3 Mn 1.85-1.87
O: 0.6242 0.3121 0.6039  3 Mn 1.85-1.87
Mn: 0.8199 0.3301 0.8187  6 O 1.85-1.94
Mn: 0.0054 0.1882 0.5252  6 O 1.86-1.94
O: 0.3566 0.7092 0.7323  3 Mn 1.87-1.88
O: 0.0404 0.3565 0.3969  3 Mn 1.85-1.86
Pb: 0.2794 0.2794 0.0000  4 O 2.55-2.56
Mn: 0.5114 0.0012 0.1813  6 O 1.85-1.94
O: 0.6886 0.6607 0.3494  3 Mn 1.92
O: 0.3133 0.9574 0.2707  3 Mn 1.86
O: 0.9765 0.6304 0.9420  3 Mn 1.93-1.94
O: 0.6434 0.2908 0.2677  3 Mn 1.87-1.88
Mn: 0.3265 0.1449 0.4714  6 O 1.86-1.94
O: 0.6451 0.6730 0.6546  3 Mn 1.92-1.94
O: 0.3555 0.7025 0.0580  3 Mn 1.92
Pb: 0.7206 0.7206 0.0000  4 O 2.55-2.56
O: 0.0235 0.3696 0.0580  3 Mn 1.93-1.94
O: 0.3114 0.3393 0.6506  3 Mn 1.92
O: 0.9816 0.0095 0.6546  3 Mn 1.92-1.94
O: 0.9768 0.6242 0.2677  3 Mn 1.87-1.88
Mn: 0.6735 0.8551 0.5286  6 O 1.86-1.94
Mn: 0.1801 0.6699 0.1813  6 O 1.85-1.94
O: 0.3549 0.3270 0.3454  3 Mn 1.92-1.94
O: 0.0232 0.3758 0.7323  3 Mn 1.87-1.88
O: 0.9596 0.6435 0.6031  3 Mn 1.85-1.86
Mn: 0.9946 0.8118 0.4748  6 O 1.86-1.94
O: 0.6884 0.0344 0.0580  3 Mn 1.93-1.94
Mn: 0.6630 0.4803 0.4748  6 O 1.86-1.94
O: 0.2917 0.9797 0.6039  3 Mn 1.85-1.87
Mn: 0.8450 0.3342 0.1792  6 O 1.85-1.93

Values from the calculation:
As for the space group: C2/m. The value obtained for the uncorrected formation energy is -1.645 eV per atom. As for the density of states at the Fermi level: 17.690 states/eV/cell.


3.
VASP calculation (PBEsol) on a geometry-optimized Sc2TaPb structure.

Cell: 3.6986 3.7005 6.1833 Å, 90.00 90.00 90.00°
With the nearest neighbours (Å) after each atom.
Fractional positions:
Sc: 0.5000 0.5000 0.2705  2 Pb 2.93-3.25, 4 Ta 2.94, 4 Sc 3.12
Pb: 0.5000 0.5000 0.7441  6 Sc 2.93-3.25, 4 Ta 3.06
Ta: 0.0000 0.0000 0.4889  6 Sc 2.94-3.14, 4 Pb 3.06
Sc: 0.0000 0.0000 0.9964  2 Ta 3.05-3.14, 4 Pb 3.05, 4 Sc 3.12

Values from the calculation:
As for the space group: P4mm. The formation energy from the elements comes out at 0.18 eV per formula unit. As for the density of states at the Fermi level: 3.505 states/eV/cell.


4.
VASP calculation (PBEsol) on a geometry-optimized MgTi2O4 structure.

Cell: 5.9681 5.9681 5.9681 Å, 60.00 60.00 60.00°
With the nearest neighbours (Å) after each atom.
Fractional positions:
Mg: 0.2500 0.2500 0.2500  4 O 1.95
O: 0.8666 0.8666 0.4001  1 Mg 1.95, 3 Ti 2.04
O: 0.3834 0.3834 0.3834  1 Mg 1.95, 3 Ti 2.04
O: 0.8666 0.4001 0.8666  1 Mg 1.95, 3 Ti 2.04
Ti: 0.6250 0.6250 0.1250  6 O 2.04
O: 0.4001 0.8666 0.8666  1 Mg 1.95, 3 Ti 2.04
O: 0.8666 0.8666 0.8666  1 Mg 1.95, 3 Ti 2.04
Ti: 0.1250 0.6250 0.6250  6 O 2.04
O: 0.3834 0.3834 0.8499  1 Mg 1.95, 3 Ti 2.04
O: 0.8499 0.3834 0.3834  1 Mg 1.95, 3 Ti 2.04
O: 0.3834 0.8499 0.3834  1 Mg 1.95, 3 Ti 2.04
Ti: 0.6250 0.1250 0.6250  6 O 2.04
Ti: 0.6250 0.6250 0.6250  6 O 2.04
Mg: 0.0000 0.0000 0.0000  4 O 1.95

Values from the calculation:
As for the space group: Fd-3m. The value obtained for the uncorrected formation energy is -2.863 eV per atom. As for the density of states at the Fermi level: 8.833 states/eV/cell.


5.
VASP calculation (PBEsol) on a geometry-optimized CaZnW structure.

Cell: 4.5110 4.5110 4.5110 Å, 60.00 60.00 60.00°
With the nearest neighbours (Å) after each atom.
Fractional positions:
Ca: 0.0000 0.0000 0.0000  4 Zn 2.76
Zn: 0.2500 0.2500 0.2500  4 W 2.76, 4 Ca 2.76
W: 0.5000 0.5000 0.5000  4 Zn 2.76

Values from the calculation:
As for the space group: F-43m. The formation energy from the elements comes out at 3.84 eV per formula unit. As for the density of states at the Fermi level: 3.793 states/eV/cell.


6.
VASP calculation (PBEsol) on a geometry-optimized Sc2CuH2 structure.

Cell: 3.2763 3.2763 6.0175 Å, 105.80 105.80 90.00°
With the nearest neighbours (Å) after each atom.
Fractional positions:
H: 0.2500 0.7500 0.5000  4 Sc 2.01
Sc: 0.6445 0.6445 0.2890  4 H 2.01
Sc: 0.3555 0.3555 0.7110  4 H 2.01
Cu: 0.0000 0.0000 0.0000  8 Sc 2.82
H: 0.7500 0.2500 0.5000  4 Sc 2.01

Values from the calculation:
The calculated total energy is -26.7 eV per formula unit. As for the space group: I4/mmm. As for the density of states at the Fermi level: 2.655 states/eV/cell.


7.
VASP calculation (PBEsol) on a geometry-optimized CuH12Br4N2O2 structure.

Cell: 7.8447 7.8447 8.0994 Å, 90.00 90.00 90.00°
With the nearest neighbours (Å) after each atom.
Fractional positions:
H: 0.0815 0.5720 0.8241  1 N 1.04
O: 0.5000 0.5000 0.7376  2 H 1.00
H: 0.9280 0.5815 0.3241  1 N 1.04
H: 0.0815 0.5720 0.1759  1 N 1.04
H: 0.0720 0.4185 0.3241  1 N 1.04
H: 0.5733 0.4267 0.8087  1 O 1.00
H: 0.5720 0.0815 0.1759  1 N 1.04
O: 0.5000 0.5000 0.2624  2 H 1.00
H: 0.4280 0.9185 0.1759  1 N 1.04
Br: 0.7166 0.2834 0.5000  1 Cu 2.40
H: 0.9280 0.5815 0.6759  1 N 1.04
O: 0.0000 0.0000 0.7624  2 H 1.00
N: 0.0000 0.5000 0.2500  4 H 1.04
N: 0.5000 0.0000 0.7500  4 H 1.04
H: 0.0733 0.0733 0.6913  1 O 1.00
Br: 0.7817 0.7817 0.5000  6 H 2.23-2.41
N: 0.5000 0.0000 0.2500  4 H 1.04
H: 0.5733 0.4267 0.1913  1 O 1.00
H: 0.0720 0.4185 0.6759  1 N 1.04
H: 0.5720 0.0815 0.8241  1 N 1.04
H: 0.5815 0.9280 0.6759  1 N 1.04
H: 0.9267 0.9267 0.3087  1 O 1.00
H: 0.4267 0.5733 0.1913  1 O 1.00
H: 0.5815 0.9280 0.3241  1 N 1.04
H: 0.9267 0.9267 0.6913  1 O 1.00
H: 0.4267 0.5733 0.8087  1 O 1.00
H: 0.4185 0.0720 0.6759  1 N 1.04
Br: 0.2166 0.2166 0.0000  1 Cu 2.40
N: 0.0000 0.5000 0.7500  4 H 1.04
H: 0.4280 0.9185 0.8241  1 N 1.04
H: 0.9185 0.4280 0.1759  1 N 1.04
Br: 0.7834 0.7834 0.0000  1 Cu 2.40
H: 0.9185 0.4280 0.8241  1 N 1.04
Br: 0.2183 0.2183 0.5000  6 H 2.23-2.41
Br: 0.7183 0.2817 0.0000  6 H 2.23-2.41
O: 0.0000 0.0000 0.2376  2 H 1.00
Cu: 0.5000 0.5000 0.5000  2 O 1.92
H: 0.0733 0.0733 0.3087  1 O 1.00
Cu: 0.0000 0.0000 0.0000  2 O 1.92
Br: 0.2817 0.7183 0.0000  6 H 2.23-2.41
Br: 0.2834 0.7166 0.5000  1 Cu 2.40
H: 0.4185 0.0720 0.3241  1 N 1.04

Values from the calculation:
The calculated total energy is -92.8 eV per formula unit. As for the space group: P4_2/mnm.


8.
VASP calculation (PBEsol) on a geometry-optimized SrLa2Os structure.

Cell: 3.3568 5.9712 6.1392 Å, 118.03 104.15 93.42°
With the nearest neighbours (Å) after each atom.
Fractional positions:
Os: 0.0000 0.5000 0.0000  4 La 3.12, 2 Sr 3.34, 2 Os 3.36
La: 0.0000 0.0000 0.5000  2 Os 3.12, 2 Sr 3.12, 4 La 3.34-3.36
Sr: 0.5000 0.0000 0.0000  4 La 3.12, 2 Os 3.34, 2 Sr 3.36
La: 0.5000 0.5000 0.5000  2 Os 3.12, 2 Sr 3.12, 4 La 3.34-3.36

Values from the calculation:
As for the space group: C2/m. The formation energy from the elements comes out at 2.54 eV per formula unit. As for the density of states at the Fermi level: 4.189 states/eV/cell.